(1)
Computed, not measured: a relaxed Sm7ErCd4 crystal at the PBE level of DFT.

Cell lengths 14.9259, 5.7927, 9.8853 Å; angles 90.00, 121.97, 90.00 degrees
Last column: nearest neighbours and their distance in Å.
Space group C2/m (No. 12)
Asymmetric unit:
1 Sm 0.0000 0.0000 0.0000 (multiplicity 2)  2 Er 2.90, 4 Cd 3.01-3.21
2 Sm 0.0702 0.5000 0.4094 (multiplicity 4)  5 Cd 3.19-3.57, 3 Sm 3.40-3.55
3 Sm 0.2044 0.5000 0.8821 (multiplicity 4)  4 Cd 3.45-3.79, 6 Sm 3.51-3.80, 1 Er 3.80
4 Sm 0.2380 0.0000 0.6948 (multiplicity 4)  4 Cd 3.03-3.23
5 Er 0.0000 0.5000 0.0000 (multiplicity 2)  2 Sm 2.90
6 Cd 0.0413 0.0000 0.7124 (multiplicity 4)  4 Sm 3.03-3.24, 1 Cd 3.07
7 Cd 0.1811 0.0000 0.3428 (multiplicity 4)  5 Sm 3.01-3.23, 1 Cd 3.07

Results
E_form ... -0.013 eV/atom
Uncorrected energy ... -3.451 eV per atom
ρ ... 7.6 g/cm3
Crystal system ... monoclinic
D(E_F) ... 13.800 states/eV/f.u.

=====

(2)
Computed, not measured: a relaxed Sm6ErCd crystal at the PBE level of DFT.

Cell lengths 6.3948, 6.3949, 6.3989 Å; angles 94.77, 94.92, 94.89 degrees
Last column: nearest neighbours and their distance in Å.
Space group P-1 (No. 2)
Asymmetric unit:
1 Sm 0.0436 0.2592 0.0484 (multiplicity 2)  1 Cd 3.20, 2 Sm 3.28-3.31, 1 Er 3.50
2 Sm 0.2409 0.9522 0.4557 (multiplicity 2)  1 Cd 3.20, 2 Sm 3.28-3.31, 1 Er 3.50
3 Sm 0.4522 0.4561 0.7410 (multiplicity 2)  1 Cd 3.20, 2 Sm 3.28-3.31, 1 Er 3.50
4 Er 0.5000 0.0000 0.0000 (multiplicity 1)  12 Sm 3.50-3.70
5 Cd 0.0000 0.5000 0.5000 (multiplicity 1)  6 Sm 3.20

Results
E_form ... 0.039 eV/atom
Uncorrected energy ... -4.185 eV per atom
ρ ... 7.6 g/cm3
Crystal system ... triclinic
D(E_F) ... 11.988 states/eV/f.u.

=====

(3)
Computed, not measured: a relaxed SmEr2Cd crystal at the PBE level of DFT.

Cell lengths 4.8499, 4.8499, 4.8414 Å; angles 90.00, 90.00, 90.00 degrees
Last column: nearest neighbours and their distance in Å.
Space group P4/mmm (No. 123)
Asymmetric unit:
1 Sm 0.0000 0.0000 0.0000 (multiplicity 1)  8 Er 3.43, 4 Cd 3.43
2 Er 0.0000 0.5000 0.5000 (multiplicity 2)  4 Cd 3.43, 4 Sm 3.43, 4 Er 3.43
3 Cd 0.5000 0.5000 0.0000 (multiplicity 1)  8 Er 3.43, 4 Sm 3.43

Results
E_form ... -0.087 eV/atom
Uncorrected energy ... -3.777 eV per atom
ρ ... 8.7 g/cm3
Crystal system ... tetragonal
D(E_F) ... 5.710 states/eV/f.u.

=====

(4)
Computed, not measured: a relaxed SmEr2Cd crystal at the PBE level of DFT.

Cell lengths 7.6843, 7.6843, 7.6843 Å; angles 90.00, 90.00, 90.00 degrees
Last column: nearest neighbours and their distance in Å.
Space group Fm-3m (No. 225)
Asymmetric unit:
1 Sm 0.0000 0.0000 0.0000 (multiplicity 4)  8 Er 3.33
2 Er 0.2500 0.2500 0.2500 (multiplicity 8)  4 Sm 3.33, 4 Cd 3.33
3 Cd 0.0000 0.0000 0.5000 (multiplicity 4)  8 Er 3.33

Results
E_form ... 0.018 eV/atom
Uncorrected energy ... -3.672 eV per atom
ρ ... 8.7 g/cm3
Crystal system ... cubic
D(E_F) ... 5.762 states/eV/f.u.